1.
A plane-wave DFT calculation with PBE-GGA was carried out for YRhI2O after structural relaxation.

```
5
Lattice="-1.637 2.360 -5.207 -0.420 -4.742 -2.018 -5.696 -0.216 1.693" Properties=species:S:1:pos:R:3 pbc="T T T"
Rh -0.210 -2.371 -1.009
Y 0.000 0.000 0.000
O -3.876 -1.299 -2.766
I -2.848 -0.108 0.846
I -0.819 1.180 -2.603
```

Properties
Calculated volume = 182.8 Å³/cell
Magnetization = 0.117 μB per atom
Symmetry = P4/mmm
Energy relative to the elements, uncorrected = 574 meV/atom

2.
A plane-wave DFT calculation with PBE-GGA was carried out for K2DyF4 after structural relaxation.

```
7
Lattice="-0.193 2.035 3.878 1.983 -3.420 1.894 9.232 3.231 1.242" Properties=species:S:1:pos:R:3 pbc="T T T"
F 0.991 -1.710 0.947
F -0.097 1.017 1.939
F 7.317 2.330 1.619
F 3.704 -0.484 5.394
K 3.542 0.553 2.364
K 7.479 1.292 4.650
Dy 0.000 0.000 0.000
```

Properties
Calculated volume = 179.8 Å³/cell
Magnetization = 0.000 μB per atom
Symmetry = I4/mmm
Energy relative to the elements, uncorrected = -3079 meV/atom